Below is an optimized crystal structure of Rb2NpCdBr6, with properties calculated at the GGA-PBE level.

Unit cell a=8.528 b=11.852 c=8.213 alpha=90.00 beta=90.00 gamma=90.00
Space group Pmmn (No. 59, origin choice 2)
Unique sites:
Rb: 0.250 0.038 0.242 (multiplicity 4)
Np: 0.250 0.250 0.745 (multiplicity 2)
Cd: 0.250 0.750 0.753 (multiplicity 2)
Br: 0.016 0.250 0.995 (multiplicity 4)
Br: 0.020 0.250 0.491 (multiplicity 4)
Br: 0.250 0.009 0.750 (multiplicity 4)

For the formation energy without anion corrections, the calculation gives -1.27 eV/atom.

=====

Below is an optimized crystal structure of AcMg4Cd2Ag, with properties calculated at the GGA-PBE level.

Unit cell a=4.8648 b=4.8648 c=29.0656 alpha=90.00 beta=90.00 gamma=120.00
Space group R-3m (No. 166, hexagonal axes)
Unique sites:
Ac: 0.0000 0.0000 0.0000 (multiplicity 3)
Mg: 0.0000 0.0000 0.1351 (multiplicity 6)
Mg: 0.0000 0.0000 0.4065 (multiplicity 6)
Cd: 0.0000 0.0000 0.2511 (multiplicity 6)
Ag: 0.0000 0.0000 0.5000 (multiplicity 3)

The value obtained for the formation energy from the elements is -1.31 eV per formula unit.

=====

Below is an optimized crystal structure of Nb2CoRhC, with properties calculated at the GGA-PBE level.

Unit cell a=4.291 b=4.291 c=3.756 alpha=90.00 beta=90.00 gamma=90.00
Space group P4/mmm (No. 123)
Unique sites:
Nb: 0.000 0.500 0.000 (multiplicity 2)
Co: 0.000 0.000 0.500 (multiplicity 1)
Rh: 0.500 0.500 0.500 (multiplicity 1)
C: 0.000 0.000 0.000 (multiplicity 1)

The value obtained for the formation energy from the elements is -1.10 eV per formula unit.

=====

Below is an optimized crystal structure of LiPuThRh, with properties calculated at the GGA-PBE level.

Unit cell a=7.070 b=7.070 c=7.070 alpha=90.00 beta=90.00 gamma=90.00
Space group F-43m (No. 216)
Unique sites:
Li: 0.000 0.000 0.000 (multiplicity 4)
Pu: 0.250 0.250 0.250 (multiplicity 4)
Th: 0.250 0.250 0.750 (multiplicity 4)
Rh: 0.000 0.000 0.500 (multiplicity 4)

The value obtained for the formation energy from the elements is -0.77 eV per formula unit.

=====

Below is an optimized crystal structure of PrAsPt4, with properties calculated at the GGA-PBE level.

Unit cell a=4.055 b=15.906 c=6.906 alpha=90.00 beta=90.00 gamma=90.00
Space group Cmcm (No. 63)
Unique sites:
Pr: 0.000 0.102 0.250 (multiplicity 4)
As: 0.000 0.240 0.750 (multiplicity 4)
Pt: 0.000 0.079 0.750 (multiplicity 4)
Pt: 0.000 0.323 0.047 (multiplicity 8)
Pt: 0.000 0.500 0.000 (multiplicity 4)

The value obtained for the formation energy from the elements is -3.87 eV per formula unit.

=====

Below is an optimized crystal structure of Si3AsC, with properties calculated at the GGA-PBE level.

Unit cell a=4.729 b=4.729 c=4.729 alpha=90.00 beta=90.00 gamma=90.00
Space group Pm-3m (No. 221)
Unique sites:
Si: 0.000 0.000 0.500 (multiplicity 3)
As: 0.000 0.000 0.000 (multiplicity 1)
C: 0.500 0.500 0.500 (multiplicity 1)

For the energy above the lowest structure with this stoichiometry, the calculation gives 1.3686 eV per atom. For the formation energy without anion corrections, the calculation gives 2.29 eV/atom.